1.
Here is FeNi9Sn2 after structural relaxation from Alexandria via LeMat-Bulk. Energies are from PBE.

Summary:
Density of states at the Fermi level   0.6777 states/eV/atom
ΔH_f (0 K)   -0.135 eV/atom
Magnetization   0.4525 μB/atom
Energy   -70.1 eV per cell

Unit cell a=3.685 b=3.685 c=10.946 alpha=90.00 beta=90.00 gamma=90.00
Space group P4/mmm (No. 123)
Symmetry-distinct sites (fractional):
Fe  0.000  0.000  0.000 (multiplicity 1)
Ni  0.000  0.500  0.152 (multiplicity 4)
Ni  0.000  0.500  0.500 (multiplicity 2)
Ni  0.500  0.500  0.000 (multiplicity 1)
Ni  0.500  0.500  0.329 (multiplicity 2)
Sn  0.000  0.000  0.326 (multiplicity 2)



2.
Here is Fe2NiSn2 after structural relaxation from Alexandria via LeMat-Bulk. Energies are from PBE.

Summary:
Density of states at the Fermi level   0.8635 states/eV/atom
ΔH_f (0 K)   0.257 eV/atom
Magnetization   0.1615 μB/atom
Energy   -58.9 eV per cell

Unit cell a=6.257 b=6.257 c=3.809 alpha=90.00 beta=90.00 gamma=90.00
Space group P4/mbm (No. 127)
Symmetry-distinct sites (fractional):
Fe  0.127  0.373  0.000 (multiplicity 4)
Ni  0.000  0.000  0.000 (multiplicity 2)
Sn  0.177  0.677  0.500 (multiplicity 4)



3.
Here is FeNi6Sn after structural relaxation from Alexandria via LeMat-Bulk. Energies are from PBE.

Summary:
Density of states at the Fermi level   0.9152 states/eV/atom
ΔH_f (0 K)   -0.074 eV/atom
Relative energy among the computed polymorphs   0.031 eV per atom
Magnetization   0.5980 μB/atom
Energy   -47.7 eV per cell

Unit cell a=5.1796 b=5.1796 c=4.1643 alpha=90.00 beta=90.00 gamma=120.00
Space group P-6m2 (No. 187)
Symmetry-distinct sites (fractional):
Fe  0.0000  0.0000  0.0000 (multiplicity 1)
Ni  0.3337  0.1669  0.5000 (multiplicity 3)
Ni  0.5085  0.0170  0.0000 (multiplicity 3)
Sn  0.3333  0.6667  0.5000 (multiplicity 1)